[1]
DFT (PBE-GGA) results for a relaxed structure of Ho4Hf3N8.

Computed properties:
The value obtained for the calculated volume is 13.77 Å³/atom. As for the formation energy from raw total energies: -143.0 kJ per mole of atoms.

a = 6.6723 Å, b = 6.6510 Å, c = 6.6510 Å
α = 89.77°, β = 120.40°, γ = 120.40°
Closest atoms and distances in Å follow each position.
Sites, in units of the cell vectors:
N  0.0254  0.2534  0.2534  1 Hf 2.22, 4 Ho 2.27-2.46
Hf  0.5000  0.5000  0.5000  6 N 2.22-2.29
Ho  0.0000  0.0000  0.0000  6 N 2.27-2.31
N  0.4939  0.2548  0.2548  3 Hf 2.28-2.35, 2 Ho 2.31-2.43
N  0.5000  0.7441  0.2559  3 Hf 2.29-2.36, 3 Ho 2.34-2.40
Hf  0.5000  0.5000  0.0000  6 N 2.34-2.36
N  0.9746  0.7466  0.7466  1 Hf 2.22, 4 Ho 2.27-2.46
N  0.0000  0.2445  0.7555  3 Ho 2.29-2.36, 2 Hf 2.34
Ho  0.0000  0.5000  0.0000  6 N 2.34-2.36
N  0.0000  0.7555  0.2445  3 Ho 2.29-2.36, 2 Hf 2.34
Ho  0.0000  0.0000  0.5000  6 N 2.34-2.36
Ho  0.5000  0.0000  0.0000  6 N 2.40-2.46
N  0.5061  0.7452  0.7452  3 Hf 2.28-2.35, 2 Ho 2.31-2.43
Hf  0.5000  0.0000  0.5000  6 N 2.34-2.36
N  0.5000  0.2559  0.7441  3 Hf 2.29-2.36, 3 Ho 2.34-2.40

[2]
DFT (PBE-GGA) results for a relaxed structure of PaBr2Cl6.

Computed properties:
The energy above the most stable polymorph in this dataset comes out at 0.000 eV per atom. The value obtained for the calculated volume is 42.02 Å³/atom. As for the formation energy from raw total energies: -113.2 kJ per mole of atoms.

a = 7.2740 Å, b = 7.4132 Å, c = 7.4132 Å
α = 87.90°, β = 103.41°, γ = 103.41°
Closest atoms and distances in Å follow each position.
Sites, in units of the cell vectors:
Pa  0.0000  0.0000  0.0000  6 Cl 2.51-2.59
Cl  0.2134  0.3286  0.9784  1 Pa 2.59
Br  0.5928  0.6101  0.6101  1 Br 2.30
Cl  0.2134  0.9784  0.3286  1 Pa 2.59
Cl  0.7866  0.0216  0.6714  1 Pa 2.59
Br  0.4072  0.3899  0.3899  1 Br 2.30
Cl  0.2217  0.8615  0.8615  1 Pa 2.51
Cl  0.7866  0.6714  0.0216  1 Pa 2.59
Cl  0.7783  0.1385  0.1385  1 Pa 2.51

Copy entry 1 word for word.
DFT (PBE-GGA) results for a relaxed structure of Ho4Hf3N8.

Computed properties:
The value obtained for the calculated volume is 13.77 Å³/atom. As for the formation energy from raw total energies: -143.0 kJ per mole of atoms.

a = 6.6723 Å, b = 6.6510 Å, c = 6.6510 Å
α = 89.77°, β = 120.40°, γ = 120.40°
Closest atoms and distances in Å follow each position.
Sites, in units of the cell vectors:
N  0.0254  0.2534  0.2534  1 Hf 2.22, 4 Ho 2.27-2.46
Hf  0.5000  0.5000  0.5000  6 N 2.22-2.29
Ho  0.0000  0.0000  0.0000  6 N 2.27-2.31
N  0.4939  0.2548  0.2548  3 Hf 2.28-2.35, 2 Ho 2.31-2.43
N  0.5000  0.7441  0.2559  3 Hf 2.29-2.36, 3 Ho 2.34-2.40
Hf  0.5000  0.5000  0.0000  6 N 2.34-2.36
N  0.9746  0.7466  0.7466  1 Hf 2.22, 4 Ho 2.27-2.46
N  0.0000  0.2445  0.7555  3 Ho 2.29-2.36, 2 Hf 2.34
Ho  0.0000  0.5000  0.0000  6 N 2.34-2.36
N  0.0000  0.7555  0.2445  3 Ho 2.29-2.36, 2 Hf 2.34
Ho  0.0000  0.0000  0.5000  6 N 2.34-2.36
Ho  0.5000  0.0000  0.0000  6 N 2.40-2.46
N  0.5061  0.7452  0.7452  3 Hf 2.28-2.35, 2 Ho 2.31-2.43
Hf  0.5000  0.0000  0.5000  6 N 2.34-2.36
N  0.5000  0.2559  0.7441  3 Hf 2.29-2.36, 3 Ho 2.34-2.40

The highest calculated volume belongs to which entry? PaBr2Cl6